Entry 1:
# RePd2Br8

A relaxed structure of RePd2Br8 (PBE, the Alexandria database).

Values from the calculation:
formation energy (no corrections) = -6.7 kJ/mol of atoms
theoretical density = 5182 kg/m3

Geometry as POSCAR:
```
RePd2Br8
1.0
-3.093 2.275 -4.428
-3.654 -6.817 -0.511
-6.123 0.070 4.752
Br Re Pd
8 1 2
Direct
0.764 0.823 0.823
0.761 0.278 0.858
0.236 0.177 0.177
0.239 0.722 0.142
0.239 0.142 0.722
0.718 0.390 0.390
0.282 0.610 0.610
0.761 0.858 0.278
0.000 0.000 0.000
0.224 0.799 0.799
0.776 0.201 0.201
```



Entry 2:
# Re2PdBr2

A relaxed structure of Re2PdBr2 (PBE, the Alexandria database).

Values from the calculation:
E above lowest polymorph = 0.1892 eV/atom
formation energy (no corrections) = 149.7 kJ/mol of atoms
theoretical density = 12180 kg/m3

Geometry as POSCAR:
```
Re2PdBr2
1.0
7.788 0.000 0.000
0.000 7.788 0.000
0.000 0.000 2.871
Re Br Pd
4 4 2
Direct
0.817 0.317 0.500
0.183 0.683 0.500
0.317 0.183 0.500
0.683 0.817 0.500
0.633 0.133 0.000
0.133 0.367 0.000
0.367 0.867 0.000
0.867 0.633 0.000
0.000 0.000 0.000
0.500 0.500 0.000
```



Entry 3:
# RePd3Br

A relaxed structure of RePd3Br (PBE, the Alexandria database).

Values from the calculation:
E above lowest polymorph = 0.0000 eV/atom
formation energy (no corrections) = 110.7 kJ/mol of atoms
theoretical density = 8436 kg/m3

Geometry as POSCAR:
```
RePd3Br
1.0
-4.449 -0.198 -1.960
0.407 -4.829 -0.435
-1.928 -0.562 4.432
Pd Re Br
3 1 1
Direct
0.000 0.000 0.500
0.500 0.000 0.000
0.000 0.500 0.000
0.000 0.000 0.000
0.500 0.500 0.500
```



Entry 4:
# RePd3Br

A relaxed structure of RePd3Br (PBE, the Alexandria database).

Values from the calculation:
E above lowest polymorph = 0.2815 eV/atom
formation energy (no corrections) = 137.8 kJ/mol of atoms
theoretical density = 9345 kg/m3

Geometry as POSCAR:
```
RePd3Br
1.0
4.703 0.000 0.000
0.000 4.703 0.000
0.000 0.000 4.703
Pd Br Re
3 1 1
Direct
0.500 0.000 0.000
0.000 0.500 0.000
0.000 0.000 0.500
0.000 0.000 0.000
0.500 0.500 0.500
```



Entry 5:
# Re2PdBr2

A relaxed structure of Re2PdBr2 (PBE, the Alexandria database).

Values from the calculation:
E above lowest polymorph = 0.0000 eV/atom
formation energy (no corrections) = 131.4 kJ/mol of atoms
theoretical density = 10936 kg/m3

Geometry as POSCAR:
```
Re2PdBr2
1.0
-3.138 2.472 1.078
-2.219 -3.307 1.122
-0.581 -0.044 6.350
Pd Re Br
1 2 2
Direct
0.000 0.000 0.000
0.250 0.750 0.500
0.750 0.250 0.500
0.372 0.372 0.257
0.628 0.628 0.743
```



Entry 6:
# RePdRhBr2

A relaxed structure of RePdRhBr2 (PBE, the Alexandria database).

Values from the calculation:
formation energy (no corrections) = 112.5 kJ/mol of atoms
theoretical density = 7841 kg/m3

Geometry as POSCAR:
```
RePdRhBr2
1.0
4.927 0.000 0.000
0.000 4.846 0.000
0.000 0.000 4.927
Br Re Rh Pd
2 1 1 1
Direct
0.000 0.000 0.500
0.500 0.000 0.000
0.000 0.000 0.000
0.000 0.500 0.000
0.500 0.500 0.500
```